No. 1
This record from Alexandria describes a geometry-optimized CaLa2CoPb structure. The functional is PBE.

The calculation puts the density at 6.50 g/cm³. The value obtained for the total DFT energy (no corrections) is -0.17834 hartree per atom. As for the density of states at the Fermi level: 2.8 states/eV per cell. As for the energy above the most stable polymorph in this dataset: 0 meV/atom. The formation enthalpy at 0 K comes out at -319 meV per atom.

The structure belongs to space group P4/mmm (No. 123); the cell edges are 5.2177, 5.2177 and 5.4769 Å and the angles 90.00°, 90.00° and 90.00°. The distinct sites, in fractional coordinates, are Ca at (0.0000, 0.0000, 0.0000), La at (0.0000, 0.5000, 0.5000), Co at (0.0000, 0.0000, 0.5000) and Pb at (0.5000, 0.5000, 0.0000).

No. 2
This record from Alexandria describes a geometry-optimized CaLa2CoPb structure. The functional is PBE.

The calculation puts the density at 6.41 g/cm³. The value obtained for the total DFT energy (no corrections) is -0.17335 hartree per atom. As for the density of states at the Fermi level: 5.3 states/eV per cell. As for the energy above the most stable polymorph in this dataset: 136 meV/atom. The formation enthalpy at 0 K comes out at -183 meV per atom.

The structure belongs to space group P4/mmm (No. 123); the cell edges are 5.3316, 5.3316 and 5.3188 Å and the angles 90.00°, 90.00° and 90.00°. The distinct sites, in fractional coordinates, are Ca at (0.0000, 0.0000, 0.0000), La at (0.0000, 0.5000, 0.5000), Co at (0.5000, 0.5000, 0.5000) and Pb at (0.5000, 0.5000, 0.0000).

No. 3
This record from Alexandria describes a geometry-optimized CaLa2PmCo structure. The functional is PBE.

The calculation puts the density at 5.13 g/cm³. The value obtained for the total DFT energy (no corrections) is -0.17550 hartree per atom. As for the density of states at the Fermi level: 6.6 states/eV per cell. The formation enthalpy at 0 K comes out at -33 meV per atom.

The structure belongs to space group P4/mmm (No. 123); the cell edges are 5.4567, 5.4567 and 5.6698 Å and the angles 90.00°, 90.00° and 90.00°. The distinct sites, in fractional coordinates, are Ca at (0.0000, 0.0000, 0.0000), La at (0.0000, 0.5000, 0.5000), Pm at (0.5000, 0.5000, 0.0000) and Co at (0.5000, 0.5000, 0.5000).